[1]
Density functional theory data (PBE) for a relaxed CsP crystal.

Calculated values
As for the magnetization: 12.00 Bohr magnetons per cell. Its density of states at the Fermi level is 3.2 states/eV/f.u. As for the calculated volume: 84.8 Å³ per atom. As for the energy relative to the elements: 0.74 eV per atom.

Unit cell a=10.0594 b=10.0594 c=10.0594 alpha=90.00 beta=90.00 gamma=90.00
With the nearest neighbours (Å) after each atom.
Sites, in units of the cell vectors:
Cs (0.0000, 0.2500, 0.5000)  4 P 3.56
Cs (0.0000, 0.7500, 0.5000)  4 P 3.56
Cs (0.2500, 0.5000, 0.0000)  4 P 3.56
Cs (0.5000, 0.0000, 0.2500)  4 P 3.56
Cs (0.5000, 0.0000, 0.7500)  4 P 3.56
Cs (0.7500, 0.5000, 0.0000)  4 P 3.56
P (0.0000, 0.5000, 0.2500)  4 Cs 3.56
P (0.0000, 0.5000, 0.7500)  4 Cs 3.56
P (0.2500, 0.0000, 0.5000)  4 Cs 3.56
P (0.5000, 0.2500, 0.0000)  4 Cs 3.56
P (0.5000, 0.7500, 0.0000)  4 Cs 3.56
P (0.7500, 0.0000, 0.5000)  4 Cs 3.56

=====

[2]
Density functional theory data (PBE) for a relaxed SnMo2Pb crystal.

Calculated values
For the polymorph energy (0 for the lowest one), the calculation gives 440 meV per atom. As for the magnetization: 10.33 Bohr magnetons per cell. Its density of states at the Fermi level is 4.3 states/eV/f.u. As for the calculated volume: 21.7 Å³ per atom. As for the energy relative to the elements: 1.09 eV per atom.

Unit cell a=7.6968 b=7.6968 c=5.8555 alpha=90.00 beta=90.00 gamma=90.00
With the nearest neighbours (Å) after each atom.
Sites, in units of the cell vectors:
Sn (0.0000, 0.0000, 0.0000)  4 Mo 2.77, 2 Pb 2.93
Sn (0.0000, 0.5000, 0.2500)  4 Mo 2.77, 2 Pb 2.93
Sn (0.5000, 0.0000, 0.7500)  4 Mo 2.77, 2 Pb 2.93
Sn (0.5000, 0.5000, 0.5000)  4 Mo 2.77, 2 Pb 2.93
Mo (0.2414, 0.2500, 0.1250)  2 Sn 2.77, 2 Pb 2.86, 2 Mo 2.93
Mo (0.2500, 0.7414, 0.3750)  2 Sn 2.77, 2 Pb 2.86, 2 Mo 2.93
Mo (0.2500, 0.7586, 0.8750)  2 Sn 2.77, 2 Pb 2.86, 2 Mo 2.93
Mo (0.2586, 0.2500, 0.6250)  2 Sn 2.77, 2 Pb 2.86, 2 Mo 2.93
Mo (0.7414, 0.7500, 0.6250)  2 Sn 2.77, 2 Pb 2.86, 2 Mo 2.93
Mo (0.7500, 0.2414, 0.8750)  2 Sn 2.77, 2 Pb 2.86, 2 Mo 2.93
Mo (0.7500, 0.2586, 0.3750)  2 Sn 2.77, 2 Pb 2.86, 2 Mo 2.93
Mo (0.7586, 0.7500, 0.1250)  2 Sn 2.77, 2 Pb 2.86, 2 Mo 2.93
Pb (0.0000, 0.0000, 0.5000)  4 Mo 2.86, 2 Sn 2.93
Pb (0.0000, 0.5000, 0.7500)  4 Mo 2.86, 2 Sn 2.93
Pb (0.5000, 0.0000, 0.2500)  4 Mo 2.86, 2 Sn 2.93
Pb (0.5000, 0.5000, 0.0000)  4 Mo 2.86, 2 Sn 2.93

=====

[3]
Density functional theory data (PBE) for a relaxed Ba2YMnSb crystal.

Calculated values
As for the magnetization: 0.00 Bohr magnetons per cell. Its density of states at the Fermi level is 7.2 states/eV/f.u. As for the calculated volume: 34.4 Å³ per atom. The value obtained for the uncorrected formation energy is 0.42 eV per atom.

Unit cell a=5.8422 b=5.8422 c=5.0359 alpha=90.00 beta=90.00 gamma=90.00
With the nearest neighbours (Å) after each atom.
Sites, in units of the cell vectors:
Ba (0.0000, 0.5000, 0.0000)  2 Mn 2.92
Ba (0.5000, 0.0000, 0.0000)  2 Mn 2.92
Y (0.0000, 0.0000, 0.5000)  8 Ba 3.86, 4 Sb 4.13
Mn (0.5000, 0.5000, 0.0000)  2 Sb 2.52
Sb (0.5000, 0.5000, 0.5000)  2 Mn 2.52